The following is a DFT calculation (PBE with a Hubbard U) of an optimized crystal structure of Li2CoO4.

Structure (POSCAR):
```
Li2CoO4
1.0
-1.883 1.883 5.016
1.883 -1.883 5.016
1.883 1.883 -5.016
Li Co O
2 1 4
Cartesian
0.000 0.000 1.321
0.000 0.000 8.711
0.000 0.000 5.016
1.883 0.000 0.000
0.000 0.000 3.265
0.000 1.883 0.000
0.000 0.000 6.767
```

## Properties
Its calculated density is 3.19 Mg/m³. Its space-group type is I4/mmm. The total energy is -0.364 Ry/atom. As for the density of states at the Fermi level: 3.29 states/eV/cell.


The following is a DFT calculation (PBE with a Hubbard U) of an optimized crystal structure of Li5Co3O8.

Structure (POSCAR):
```
Li5Co3O8
1.0
9.482 -1.417 0.000
9.482 1.417 0.000
-0.318 0.000 4.929
Li Co O
5 3 8
Cartesian
0.000 0.000 0.000
2.238 0.000 1.898
7.150 0.000 0.545
11.496 0.000 4.383
16.407 0.000 3.031
4.508 0.000 3.699
9.323 0.000 2.464
14.137 0.000 1.230
0.831 0.000 3.308
3.688 0.000 0.334
5.615 0.000 2.112
8.133 0.000 3.835
10.513 0.000 1.094
13.030 0.000 2.816
14.957 0.000 4.595
17.814 0.000 1.621
```

## Properties
Its calculated density is 4.26 Mg/m³. Its space-group type is C2/m. The total energy is -0.401 Ry/atom. As for the density of states at the Fermi level: 4.21 states/eV/cell.


The following is a DFT calculation (PBE with a Hubbard U) of an optimized crystal structure of Li2CoO3.

Structure (POSCAR):
```
Li2CoO3
1.0
7.401 -1.481 0.000
7.401 1.481 0.000
-1.453 0.000 4.786
Li Co O
4 2 6
Cartesian
0.000 0.000 0.000
1.764 0.000 2.363
6.674 0.000 2.393
11.585 0.000 2.423
5.013 0.000 0.051
8.335 0.000 4.735
0.223 0.000 3.630
3.400 0.000 1.031
4.874 0.000 3.708
8.474 0.000 1.078
9.948 0.000 3.755
13.125 0.000 1.156
```

## Properties
Its calculated density is 3.82 Mg/m³. Its space-group type is C2/m. The total energy is -0.394 Ry/atom. As for the density of states at the Fermi level: 1.31 states/eV/cell.


The following is a DFT calculation (PBE with a Hubbard U) of an optimized crystal structure of LiCo7O8.

Structure (POSCAR):
```
LiCo7O8
1.0
0.000 4.266 4.266
4.266 0.000 4.266
4.266 4.266 0.000
Li Co O
1 7 8
Cartesian
0.000 0.000 0.000
2.133 2.133 0.000
2.133 0.000 2.133
4.266 2.133 2.133
0.000 2.133 2.133
2.133 4.266 2.133
2.133 2.133 4.266
4.266 4.266 4.266
2.133 2.133 2.133
4.266 4.266 2.202
4.266 2.202 4.266
6.329 4.266 4.266
2.202 4.266 4.266
4.266 6.329 4.266
4.266 4.266 6.329
6.399 6.399 6.399
```

## Properties
Its calculated density is 5.86 Mg/m³. Its space-group type is Fm-3m. The total energy is -0.430 Ry/atom. As for the density of states at the Fermi level: 11.11 states/eV/cell.


The following is a DFT calculation (PBE with a Hubbard U) of an optimized crystal structure of Li2CoO3.

Structure (POSCAR):
```
Li2CoO3
1.0
9.111 0.000 0.000
0.000 9.111 0.000
0.000 0.000 3.297
Li Co O
8 4 12
Cartesian
1.021 2.907 0.000
1.649 5.576 1.648
2.907 1.021 0.000
3.535 7.462 1.648
5.576 1.649 1.648
6.204 8.090 0.000
7.462 3.535 1.648
8.090 6.204 0.000
1.005 8.106 0.000
3.550 3.550 1.648
5.560 5.560 1.648
8.106 1.005 0.000
0.850 0.850 0.000
0.899 6.378 0.000
1.823 3.656 1.648
2.732 8.212 0.000
3.656 1.823 1.648
3.706 5.405 1.648
5.405 3.706 1.648
5.454 7.287 1.648
6.378 0.899 0.000
7.287 5.454 1.648
8.212 2.732 0.000
8.261 8.261 0.000
```

## Properties
Its calculated density is 2.93 Mg/m³. Its space-group type is P4_2/mnm. The total energy is -0.389 Ry/atom.


The following is a DFT calculation (PBE with a Hubbard U) of an optimized crystal structure of Li4Co3O7.

Structure (POSCAR):
```
Li4Co3O7
1.0
2.838 0.000 0.000
0.006 8.065 0.000
1.395 2.168 10.131
Li Co O
8 6 14
Cartesian
0.000 0.000 0.000
0.003 4.032 0.000
1.385 2.130 7.243
1.409 6.129 4.377
1.421 1.920 1.426
2.818 8.314 8.706
2.830 4.104 5.754
2.854 8.104 2.889
1.411 6.166 7.247
1.408 2.072 4.326
1.398 6.117 1.441
2.841 4.116 8.691
2.831 8.161 5.805
2.828 4.068 2.884
1.384 4.202 9.948
1.428 4.242 7.370
1.412 8.092 7.129
1.413 8.208 4.494
1.407 4.013 4.205
1.407 4.148 1.580
1.435 7.910 1.491
2.804 2.324 8.640
2.832 6.085 8.552
2.832 6.221 5.926
2.826 2.025 5.638
2.827 2.141 3.002
2.811 5.991 2.761
2.855 6.032 0.183
```

## Properties
Its calculated density is 4.53 Mg/m³. Its space-group type is P-1. The total energy is -0.409 Ry/atom.


The following is a DFT calculation (PBE with a Hubbard U) of an optimized crystal structure of LiCoO.

Structure (POSCAR):
```
LiCoO
1.0
10.013 0.000 0.000
0.000 2.919 0.000
0.000 0.000 3.918
Li Co O
4 4 4
Cartesian
0.282 0.730 0.957
4.724 2.189 2.916
5.288 0.730 1.002
9.731 2.189 2.962
2.288 2.189 2.131
2.718 0.730 0.172
7.294 2.189 3.747
7.725 0.730 1.787
1.040 0.730 2.931
3.967 2.189 0.972
6.046 0.730 2.947
8.973 2.189 0.987
```

## Properties
Its calculated density is 4.75 Mg/m³. Its space-group type is Pnma. The total energy is -0.364 Ry/atom. As for the density of states at the Fermi level: 0.92 states/eV/cell.


The following is a DFT calculation (PBE with a Hubbard U) of an optimized crystal structure of Li7Co2O6.

Structure (POSCAR):
```
Li7Co2O6
1.0
5.330 0.000 0.000
0.785 5.332 0.000
0.304 2.654 5.189
Li Co O
7 2 6
Cartesian
0.000 0.000 0.000
0.704 4.381 3.472
3.097 6.690 3.781
3.042 4.159 5.041
4.135 3.010 3.309
4.850 5.750 5.141
5.448 6.310 2.212
1.386 2.730 1.633
3.321 4.690 1.630
0.648 2.298 3.260
0.826 1.978 0.088
1.356 4.681 1.707
3.334 2.496 1.587
4.376 7.658 5.043
4.117 5.028 3.412
```

## Properties
Its calculated density is 2.96 Mg/m³. Its space-group type is P1. The total energy is -0.377 Ry/atom.


The following is a DFT calculation (PBE with a Hubbard U) of an optimized crystal structure of Li19Co4O16.

Structure (POSCAR):
```
Li19Co4O16
1.0
7.203 0.000 0.000
0.000 6.684 0.000
-0.136 0.000 7.864
Li Co O
19 4 16
Cartesian
0.000 0.000 0.000
0.041 3.342 1.657
0.145 3.342 4.074
0.460 0.000 5.747
1.750 1.712 1.203
1.750 4.972 1.203
1.873 2.033 6.564
1.873 4.651 6.564
2.148 1.805 3.659
2.148 4.879 3.659
3.040 0.000 6.022
3.743 0.000 3.549
3.848 3.342 1.435
5.127 1.648 7.473
5.127 5.035 7.473
5.528 1.439 2.270
5.528 5.245 2.270
5.618 1.489 5.041
5.618 5.195 5.041
0.310 0.000 3.278
3.596 0.000 1.057
3.827 3.342 5.246
6.949 3.342 7.120
0.395 1.751 2.645
0.395 4.933 2.645
1.594 3.342 0.179
1.834 0.000 4.443
1.938 0.000 7.833
2.037 3.342 4.923
3.463 1.538 2.181
3.463 5.146 2.181
3.870 1.688 5.935
3.870 4.995 5.935
5.397 0.000 0.685
5.390 3.342 4.425
5.647 3.342 0.575
5.707 0.000 3.831
6.945 1.605 6.491
6.945 5.078 6.491
```

## Properties
Its calculated density is 2.74 Mg/m³. Its space-group type is Pm. The total energy is -0.375 Ry/atom.


The following is a DFT calculation (PBE with a Hubbard U) of an optimized crystal structure of Li4Co3O7.

Structure (POSCAR):
```
Li4Co3O7
1.0
2.917 0.000 0.000
1.111 7.582 0.000
1.358 1.700 10.909
Li Co O
8 6 14
Cartesian
0.000 0.000 0.000
1.355 2.691 7.004
2.568 6.444 10.151
1.432 0.895 2.302
2.693 4.641 5.454
3.954 8.387 8.606
2.818 2.838 0.757
4.031 6.590 3.904
1.330 3.711 3.107
2.516 7.494 6.244
2.765 3.546 9.396
2.621 5.735 1.513
2.870 1.788 4.665
4.056 5.571 7.802
1.461 2.291 8.965
1.404 3.084 4.940
1.323 4.312 1.294
2.435 6.927 8.092
2.522 8.103 4.415
1.404 1.499 0.198
2.795 4.167 7.524
2.592 5.115 3.385
3.982 7.783 10.711
2.864 1.179 6.494
2.951 2.355 2.817
4.063 4.970 9.614
3.983 6.198 5.969
3.925 6.990 1.944
```

## Properties
Its calculated density is 4.36 Mg/m³. Its space-group type is P-1. The total energy is -0.406 Ry/atom. As for the density of states at the Fermi level: 0.17 states/eV/cell.


The following is a DFT calculation (PBE with a Hubbard U) of an optimized crystal structure of Li2CoOsO6.

Structure (POSCAR):
```
Li2CoOsO6
1.0
4.365 -2.664 0.000
4.365 2.664 0.000
-2.821 0.000 4.104
Li Co Os O
2 1 1 6
Cartesian
1.338 0.000 1.200
4.572 0.000 2.904
-1.410 0.000 2.052
4.365 0.000 0.000
1.818 1.326 2.792
-0.329 0.000 3.688
4.092 1.326 1.312
1.818 -1.326 2.792
6.239 0.000 0.416
4.092 -1.326 1.312
```

## Properties
Its calculated density is 6.25 Mg/m³. Its space-group type is C2/m. The total energy is -0.457 Ry/atom. As for the density of states at the Fermi level: 2.64 states/eV/cell.


The following is a DFT calculation (PBE with a Hubbard U) of an optimized crystal structure of LiCo2P2O8.

Structure (POSCAR):
```
LiCo2P2O8
1.0
8.573 0.000 0.000
0.000 5.107 0.000
-6.004 0.000 8.246
Li Co P O
2 4 4 16
Cartesian
0.000 0.413 0.000
-3.002 4.694 4.123
-4.421 2.305 6.165
-1.418 2.802 2.042
2.813 0.379 2.069
-0.189 4.728 6.191
-1.543 2.192 5.124
1.460 2.915 1.001
5.718 0.211 1.023
2.716 4.896 5.146
0.003 2.296 0.881
-2.999 2.811 5.004
-0.847 2.547 3.766
-3.849 2.560 7.889
-1.702 0.665 5.320
1.300 4.442 1.197
2.253 2.261 2.125
-0.749 2.846 6.248
1.248 0.130 4.943
4.250 4.977 0.820
3.595 0.085 3.904
0.593 5.022 8.027
5.824 1.726 1.386
2.822 3.381 5.509
3.342 0.587 6.364
6.344 4.520 2.241
```

## Properties
Its calculated density is 2.90 Mg/m³. Its space-group type is Pc. The total energy is -0.490 Ry/atom.


The following is a DFT calculation (PBE with a Hubbard U) of an optimized crystal structure of Li3Co2P3O12.

Structure (POSCAR):
```
Li3Co2P3O12
1.0
4.221 2.437 7.487
-4.221 2.437 7.487
0.000 -4.874 7.487
Li Co P O
6 4 6 24
Cartesian
-1.062 -2.309 10.141
-2.531 -0.235 12.319
-1.469 2.075 10.141
1.469 -2.075 12.319
2.531 0.235 10.141
1.062 2.309 12.319
0.000 0.000 3.374
0.000 0.000 7.911
0.000 0.000 14.549
0.000 0.000 19.086
-2.991 -0.320 9.348
-1.219 -2.750 13.112
1.772 -2.430 9.348
-1.772 2.430 13.112
1.219 2.750 9.348
2.991 0.320 13.112
-4.053 0.727 9.758
-2.657 -3.146 12.702
-2.823 -1.381 10.506
-0.825 -1.440 6.935
-1.594 0.341 9.229
-0.215 -3.135 11.955
-0.835 1.435 6.935
1.397 -3.874 9.758
-2.608 1.754 11.955
0.502 -1.551 9.229
-1.092 -1.210 13.231
-1.660 -0.005 15.525
1.660 0.005 6.935
1.092 1.210 9.229
-0.502 1.551 13.231
2.608 -1.754 10.506
-1.397 3.874 12.702
0.835 -1.435 15.525
0.215 3.135 10.506
1.594 -0.341 13.231
0.825 1.440 15.525
2.823 1.381 11.955
2.657 3.146 9.758
4.053 -0.727 12.702
```

## Properties
Its calculated density is 3.04 Mg/m³. Its space-group type is R-3. The total energy is -0.479 Ry/atom. As for the density of states at the Fermi level: 23.54 states/eV/cell.


The following is a DFT calculation (PBE with a Hubbard U) of an optimized crystal structure of Li2Co2P2O9.

Structure (POSCAR):
```
Li2Co2P2O9
1.0
4.963 0.000 0.000
2.295 7.202 0.000
0.021 3.929 7.515
Li Co P O
2 2 2 9
Cartesian
0.973 0.593 0.571
6.305 10.538 6.944
3.311 7.310 3.787
3.968 3.821 3.728
3.807 9.981 5.356
3.472 1.151 2.159
0.829 3.482 4.156
3.256 10.427 6.710
3.657 8.431 5.219
4.233 8.012 2.213
3.639 5.566 3.757
3.046 3.119 5.302
3.621 2.700 2.296
4.022 0.704 0.805
6.450 7.649 3.359
```

## Properties
Its calculated density is 2.09 Mg/m³. Its space-group type is P-1. The total energy is -0.473 Ry/atom.


The following is a DFT calculation (PBE with a Hubbard U) of an optimized crystal structure of LiCo2P2O8.

Structure (POSCAR):
```
LiCo2P2O8
1.0
7.769 0.000 0.000
0.000 5.503 0.000
-2.044 0.000 8.298
Li Co P O
2 4 4 16
Cartesian
0.000 0.890 0.000
-1.022 4.613 4.149
2.491 0.847 2.745
1.469 4.656 6.894
5.525 1.882 5.146
6.548 3.620 0.996
0.173 1.880 3.140
-0.849 3.623 7.289
4.781 0.896 0.716
3.759 4.606 4.865
-0.933 1.078 3.868
-1.955 4.425 8.017
-1.378 2.217 6.922
-0.355 3.285 2.773
0.703 1.072 1.884
-0.319 4.430 6.034
1.494 1.943 3.980
0.471 3.559 8.129
1.841 0.732 7.728
2.863 4.771 3.579
3.889 1.569 1.814
2.867 3.933 5.963
4.224 0.473 5.348
5.247 5.030 1.199
5.965 1.827 0.387
4.943 3.675 4.537
```

## Properties
Its calculated density is 2.95 Mg/m³. Its space-group type is Pc. The total energy is -0.488 Ry/atom.